# 1
The following is a DFT calculation (PBE) of a relaxed AgOsPd3 crystal.

Results
Energy relative to the elements   1232 meV per atom
Energy relative to the lowest polymorph listed for this composition   0.000 eV per atom
SG   Pm-3m

abc: 4.816 4.816 4.816
angles: 90.00 90.00 90.00
Element x y z (fractional)
Ag1 0.500 0.500 0.500
Pd1 0.500 0.000 0.000
Pd2 0.000 0.500 0.000
Pd3 0.000 0.000 0.500
Os1 0.000 0.000 0.000

=====

# 2
The following is a DFT calculation (PBE) of a relaxed AcPaPS crystal.

Results
Uncorrected formation energy   -1099 meV per atom
SG   F-43m

abc: 5.056 5.056 5.056
angles: 60.00 60.00 60.00
Element x y z (fractional)
S1 0.000 0.000 0.000
Ac1 0.250 0.250 0.250
Pa1 0.750 0.750 0.750
P1 0.500 0.500 0.500

=====

# 3
The following is a DFT calculation (PBE) of a relaxed AlTlPd4 crystal.

Results
Energy relative to the elements   -468 meV per atom
Energy relative to the lowest polymorph listed for this composition   0.000 eV per atom
SG   Pnma

abc: 3.150 7.287 17.336
angles: 90.00 90.00 90.00
Element x y z (fractional)
Pd1 0.750 0.358 0.846
Pd2 0.750 0.477 0.566
Pd3 0.750 0.451 0.301
Pd4 0.750 0.977 0.934
Pd5 0.250 0.549 0.699
Pd6 0.250 0.049 0.801
Pd7 0.250 0.614 0.948
Pd8 0.750 0.386 0.052
Pd9 0.750 0.886 0.448
Pd10 0.250 0.523 0.434
Pd11 0.750 0.858 0.654
Pd12 0.250 0.642 0.154
Pd13 0.250 0.023 0.066
Pd14 0.250 0.114 0.552
Pd15 0.750 0.951 0.199
Pd16 0.250 0.142 0.346
Tl1 0.250 0.774 0.312
Tl2 0.750 0.726 0.812
Tl3 0.250 0.274 0.188
Tl4 0.750 0.226 0.688
Al1 0.750 0.250 0.449
Al2 0.250 0.750 0.551
Al3 0.750 0.750 0.051
Al4 0.250 0.250 0.949

=====

# 4
The following is a DFT calculation (PBE) of a relaxed LiSi3Pd6 crystal.

Results
Uncorrected formation energy   -534 meV per atom
SG   P2_1/c

abc: 6.448 6.103 7.538
angles: 90.00 92.55 90.00
Element x y z (fractional)
Pd1 0.351 0.850 0.070
Pd2 0.331 0.861 0.439
Pd3 0.851 0.650 0.570
Pd4 0.831 0.639 0.939
Pd5 0.669 0.139 0.561
Pd6 0.149 0.350 0.430
Pd7 0.745 0.882 0.258
Pd8 0.169 0.361 0.061
Pd9 0.649 0.150 0.930
Pd10 0.245 0.618 0.758
Pd11 0.255 0.118 0.742
Pd12 0.755 0.382 0.242
Si1 0.063 0.669 0.244
Si2 0.563 0.831 0.744
Si3 0.937 0.331 0.756
Si4 0.437 0.169 0.256
Si5 0.500 0.500 0.000
Si6 0.000 0.000 0.500
Li1 0.000 0.000 0.000
Li2 0.500 0.500 0.500

=====

Magnetic moment readings, ordered: 0.0 1.6 0.0 0.0 μB per formula unit
Ρ readings, ordered: 9.2 9.5 11.0 8.2 Mg/m³